(one)
First-principles (PBE) data for an optimized crystal structure of CdPbNO, as listed in the Open Quantum Materials Database.

Unit cell a=3.954 b=5.817 c=6.182 alpha=90.00 beta=90.00 gamma=90.00
Fractional coordinates of all 8 atoms:
Cd: 0.500 0.989 0.186
Cd: 0.500 0.489 0.814
N: 0.000 0.884 0.329
N: 0.000 0.384 0.671
O: 0.500 0.386 0.170
O: 0.500 0.886 0.830
Pb: 0.000 0.495 0.321
Pb: 0.000 0.995 0.679

***

(two)
First-principles (PBE) data for an optimized crystal structure of CdPbNO, as listed in the Open Quantum Materials Database.

Unit cell a=6.513 b=7.461 c=5.874 alpha=90.00 beta=90.00 gamma=90.00
Fractional coordinates of all 16 atoms:
Cd: 0.917 0.371 0.491
Cd: 0.417 0.629 0.491
Cd: 0.583 0.371 0.991
Cd: 0.083 0.629 0.991
N: 0.421 0.122 0.109
N: 0.921 0.878 0.109
N: 0.079 0.122 0.609
N: 0.579 0.878 0.609
O: 0.910 0.387 0.105
O: 0.410 0.613 0.105
O: 0.590 0.387 0.605
O: 0.090 0.613 0.605
Pb: 0.416 0.134 0.498
Pb: 0.916 0.866 0.498
Pb: 0.084 0.134 0.998
Pb: 0.584 0.866 0.998

***

(three)
First-principles (PBE) data for an optimized crystal structure of CdPbNO, as listed in the Open Quantum Materials Database.

Unit cell a=4.900 b=4.900 c=4.898 alpha=90.00 beta=90.00 gamma=90.00
Fractional coordinates of all 8 atoms:
Cd: 0.250 0.250 0.001
Cd: 0.750 0.750 0.999
N: 0.750 0.750 0.498
N: 0.250 0.250 0.502
O: 0.750 0.250 0.000
O: 0.250 0.750 0.000
Pb: 0.750 0.250 0.500
Pb: 0.250 0.750 0.500

***

(four)
First-principles (PBE) data for an optimized crystal structure of CdPbNO, as listed in the Open Quantum Materials Database.

Unit cell a=4.099 b=4.099 c=8.742 alpha=90.00 beta=90.00 gamma=90.00
Fractional coordinates of all 8 atoms:
Cd: 0.000 0.000 0.500
Cd: 0.500 0.500 0.500
N: 0.500 0.000 0.387
N: 0.000 0.500 0.613
O: 0.000 0.000 0.000
O: 0.500 0.500 0.000
Pb: 0.000 0.500 0.134
Pb: 0.500 0.000 0.866

***

Relative calculated energies, zero for the most stable structure, unit eV/atom: (one) 0.000; (two) 0.017; (three) 0.026; (four) 0.255.